Here is crystalline PmHS2 at its relaxed geometry from the Alexandria database. Energies are from GGA-PBE.

a = 5.3211 Å, b = 7.5731 Å, c = 7.5710 Å
α = 90.00°, β = 97.13°, γ = 90.00°
Closest atoms and distances in Å follow each position.
Space group P2_1/c (No. 14)
Asymmetric unit:
Pm1 0.1638 0.0455 0.3003 [4 per cell]  1 H 2.89, 8 S 2.90-3.00
H1 0.3925 0.6718 0.5491 [4 per cell]  1 S 1.37
S1 0.1417 0.7087 0.5002 [4 per cell]  1 H 1.37
S2 0.3280 0.1144 0.6739 [4 per cell]  1 H 2.45

## Properties
Electronic total energy ... -5.375 eV per atom